Entry 1:
{"formula": "Sr6LiCa3", "functional": "PBE", "state": "relaxed", "lattice": [[10.8587, 0.0000, 0.0000], [0.0000, 6.6362, 0.0000], [-5.2601, 0.0000, 13.3170]], "species": ["Sr", "Sr", "Sr", "Sr", "Sr", "Sr", "Sr", "Sr", "Sr", "Sr", "Sr", "Sr", "Li", "Li", "Ca", "Ca", "Ca", "Ca", "Ca", "Ca"], "fractional_positions": [[0.0315, 0.2500, 0.4239], [0.1734, 0.7500, 0.1674], [0.2590, 0.2500, 0.0125], [0.3453, 0.2500, 0.3311], [0.3555, 0.7500, 0.7992], [0.4230, 0.2500, 0.6403], [0.5770, 0.7500, 0.3597], [0.6445, 0.2500, 0.2008], [0.6547, 0.7500, 0.6689], [0.7410, 0.7500, 0.9875], [0.8266, 0.2500, 0.8326], [0.9685, 0.7500, 0.5761], [0.4605, 0.7500, 0.0816], [0.5395, 0.2500, 0.9184], [0.0414, 0.7500, 0.8728], [0.1104, 0.2500, 0.7233], [0.2691, 0.7500, 0.4736], [0.7309, 0.2500, 0.5264], [0.8896, 0.7500, 0.2767], [0.9586, 0.2500, 0.1272]], "formation_enthalpy_0k_kj_per_mol_atoms": 3.3, "e_above_lowest_polymorph_mev_per_atom": 0.0}



Entry 2:
{"formula": "Ac4TbTe7", "functional": "PBE", "state": "relaxed", "lattice": [[7.7019, -2.2823, 0.0000], [7.7019, 2.2823, 0.0000], [-3.5095, 0.0000, 13.1316]], "species": ["Ac", "Ac", "Ac", "Ac", "Tb", "Te", "Te", "Te", "Te", "Te", "Te", "Te"], "fractional_positions": [[0.0000, 0.0000, 0.0000], [0.0999, 0.0999, 0.4465], [0.3046, 0.3046, 0.2167], [0.7012, 0.7012, 0.8211], [0.8730, 0.8730, 0.5808], [0.0343, 0.0343, 0.7704], [0.2675, 0.2675, 0.6622], [0.3384, 0.3384, 0.9653], [0.4580, 0.4580, 0.4845], [0.6621, 0.6621, 0.0631], [0.7280, 0.7280, 0.3697], [0.9611, 0.9611, 0.2236]], "e_form_raw_ev_per_fu": -18.40}



Entry 3:
{"formula": "PrSc3Zn8", "functional": "PBE", "state": "relaxed", "lattice": [[5.3742, 0.0000, 0.0000], [-2.6871, 4.6542, 0.0000], [0.0000, 0.0000, 8.6366]], "species": ["Pr", "Sc", "Sc", "Sc", "Zn", "Zn", "Zn", "Zn", "Zn", "Zn", "Zn", "Zn"], "fractional_positions": [[0.0000, 0.0000, 0.0000], [0.0000, 0.0000, 0.3814], [0.6667, 0.3333, 0.4892], [0.6667, 0.3333, 0.8577], [0.1636, 0.3271, 0.6765], [0.1636, 0.8364, 0.6765], [0.3333, 0.6667, 0.4354], [0.3333, 0.6667, 0.9324], [0.5045, 0.0090, 0.1921], [0.5045, 0.4955, 0.1921], [0.6729, 0.8364, 0.6765], [0.9910, 0.4955, 0.1921]], "formation_enthalpy_0k_kj_per_mol_atoms": -29.4}



It is found that the magnetic moment values, taken in the order of the records, are 0.00, 0.00, 0.00 μB per formula unit.
It is found that the calculated density values, taken in the order of the records, are 2.260, 7.050, 6.142 g/cm³.